GGA-PBE TcS4Br, optimized geometry; space-group type = C2/c (15); density = 3.32 g cm⁻³; formation energy (no corrections) = -192.9 meV per atom
1.0
3.716 -7.061 0.000
3.716 7.061 0.000
-2.747 0.000 5.842
Tc S Br
2 8 2
Direct
0.001 0.999 0.750
0.999 0.001 0.250
0.079 0.821 0.473
0.159 0.295 0.110
0.179 0.921 0.027
0.295 0.159 0.610
0.705 0.841 0.390
0.821 0.079 0.973
0.841 0.705 0.890
0.921 0.179 0.527
0.364 0.636 0.750
0.636 0.364 0.250

GGA-PBE TcS4Br2, optimized geometry; space-group type = Cc (9); density = 3.06 g cm⁻³; formation energy (no corrections) = -29.4 meV per atom
1.0
7.071 -4.540 0.000
7.071 4.540 0.000
-1.195 0.000 6.533
Tc S Br
2 8 4
Direct
0.179 0.821 0.500
0.821 0.179 0.000
0.150 0.568 0.349
0.209 0.572 0.657
0.383 0.872 0.760
0.480 0.741 0.494
0.568 0.150 0.849
0.572 0.209 0.157
0.741 0.480 0.994
0.872 0.383 0.260
0.093 0.930 0.142
0.545 0.960 0.316
0.930 0.093 0.642
0.960 0.545 0.816

GGA-PBE TcSBr3, optimized geometry; space-group type = C2/c (15); density = 3.80 g cm⁻³; formation energy (no corrections) = -299.1 meV per atom
1.0
3.636 -7.004 0.000
3.636 7.004 0.000
-0.703 0.000 12.686
Tc S Br
4 4 12
Direct
0.016 0.099 0.150
0.099 0.016 0.650
0.901 0.984 0.350
0.984 0.901 0.850
0.029 0.709 0.721
0.291 0.971 0.779
0.709 0.029 0.221
0.971 0.291 0.279
0.005 0.794 0.473
0.176 0.284 0.794
0.206 0.995 0.027
0.244 0.457 0.077
0.284 0.176 0.294
0.457 0.244 0.577
0.543 0.756 0.423
0.716 0.824 0.706
0.756 0.543 0.923
0.794 0.005 0.973
0.824 0.716 0.206
0.995 0.206 0.527

GGA-PBE TcSBr3, optimized geometry; space-group type = Pm-3m (221); density = 4.39 g cm⁻³; formation energy (no corrections) = 962.7 meV per atom
1.0
5.189 0.000 0.000
0.000 5.189 0.000
0.000 0.000 5.189
Tc S Br
1 1 3
Direct
0.000 0.000 0.000
0.500 0.500 0.500
0.000 0.500 0.500
0.500 0.000 0.500
0.500 0.500 0.000

GGA-PBE TcSBr3, optimized geometry; space-group type = Pm-3m (221); density = 4.91 g cm⁻³; formation energy (no corrections) = 609.4 meV per atom
1.0
5.001 0.000 0.000
0.000 5.001 0.000
0.000 0.000 5.001
Tc S Br
1 1 3
Direct
0.000 0.000 0.000
0.500 0.500 0.500
0.000 0.000 0.500
0.000 0.500 0.000
0.500 0.000 0.000

GGA-PBE TcS3Br, optimized geometry; space-group type = Pm-3m (221); density = 4.02 g cm⁻³; formation energy (no corrections) = 1500.8 meV per atom
1.0
4.838 0.000 0.000
0.000 4.838 0.000
0.000 0.000 4.838
Tc S Br
1 3 1
Direct
0.000 0.000 0.000
0.000 0.500 0.500
0.500 0.000 0.500
0.500 0.500 0.000
0.500 0.500 0.500

GGA-PBE Te2SBr, optimized geometry; space-group type = I-42d (122); density = 5.03 g cm⁻³; formation energy (no corrections) = 322.5 meV per atom
1.0
-3.882 3.882 4.019
3.882 -3.882 4.019
3.882 3.882 -4.019
Te S Br
4 2 2
Direct
0.073 0.625 0.948
0.375 0.323 0.448
0.677 0.125 0.052
0.875 0.927 0.552
0.000 0.000 0.000
0.750 0.250 0.500
0.250 0.750 0.500
0.500 0.500 0.000

GGA-PBE TeSBr, optimized geometry; space-group type = P1 (1); density = 3.47 g cm⁻³; formation energy (no corrections) = -98.5 meV per atom
1.0
5.385 0.000 0.000
-2.345 5.977 0.000
-1.115 -2.830 7.119
Te S Br
2 2 2
Direct
0.000 0.000 0.000
0.376 0.638 0.146
0.342 0.016 0.261
0.980 0.355 0.211
0.062 0.543 0.795
0.717 0.811 0.489

no.,spin magnetization (μB per formula unit)
1,0.00
2,1.03
3,0.00
4,4.81
5,0.15
6,4.52
7,0.00
8,0.00